VASP calculation (PBE) on a relaxed structure of Li3U3InTe8.

Computed properties:
N(E_F) in states/eV/cell: 20.8
VASP energy in eV per atom: -5.161
E_form (uncorrected) in eV per atom: -0.662

Lattice parameters (Å, degrees): 8.6304 8.6304 8.6304 60.64 60.64 60.64
Positions (direct):
Li  0.0000  0.5000  0.5000
Li  0.5000  0.0000  0.5000
Li  0.5000  0.5000  0.0000
U  0.0000  0.0000  0.5000
U  0.0000  0.5000  0.0000
U  0.5000  0.0000  0.0000
In  0.5000  0.5000  0.5000
Te  0.2482  0.2482  0.7504
Te  0.2482  0.7504  0.2482
Te  0.2496  0.7518  0.7518
Te  0.2537  0.2537  0.2537
Te  0.7463  0.7463  0.7463
Te  0.7504  0.2482  0.2482
Te  0.7518  0.2496  0.7518
Te  0.7518  0.7518  0.2496